The following is a DFT calculation (PBE) of InCoPb2Br after structural relaxation.

Calculated values
SG: No. 123
Total magnetic moment in μB per atom: 0.00
Crystal system: tetragonal
Formation energy without anion corrections in eV per atom: -0.13
DOS(E_F) in states/eV/cell: 2.45

The structure in POSCAR format:
```
InCoPb2Br
1.0
5.112 0.000 0.000
0.000 5.112 0.000
0.000 0.000 5.105
In Co Pb Br
1 1 2 1
Direct
0.000 0.000 0.000
0.000 0.000 0.500
0.000 0.500 0.500
0.500 0.000 0.500
0.500 0.500 0.000
```

The following is a DFT calculation (PBE) of InCoPbBr2 after structural relaxation.

Calculated values
SG: No. 123
Total magnetic moment in μB per atom: 0.26
Crystal system: tetragonal
Formation energy without anion corrections in eV per atom: 0.09
DOS(E_F) in states/eV/cell: 7.00

The structure in POSCAR format:
```
InCoPbBr2
1.0
4.841 0.000 0.000
0.000 4.841 0.000
0.000 0.000 5.619
In Co Pb Br
1 1 1 2
Direct
0.000 0.000 0.000
0.000 0.000 0.500
0.500 0.500 0.000
0.000 0.500 0.500
0.500 0.000 0.500
```